1.
# CuIrRh2

Crystalline CuIrRh2 at its relaxed geometry (PBE, the Alexandria database).

Calculated values
formation enthalpy at 0 K	186	meV/atom

Cell: 2.7559 4.5437 8.9582 Å, 90.00 90.00 90.00°
Closest atoms and distances in Å follow each position.
Space group Imm2 (No. 44)
Inequivalent atoms, fractional coordinates:
Cu (0.0000, 0.0000, 0.0000) x2  2 Ir 2.57, 6 Rh 2.58-2.66, 2 Cu 2.76
Ir (0.0000, 0.5000, 0.7423) x2  2 Cu 2.57, 6 Rh 2.65-2.66, 2 Ir 2.76
Rh (0.0000, 0.0000, 0.4953) x2  2 Ir 2.65, 4 Cu 2.66, 4 Rh 2.72-2.76
Rh (0.0000, 0.5000, 0.2566) x2  2 Cu 2.58, 4 Ir 2.66, 4 Rh 2.72-2.76

=====

2.
# CuIr2Rh

Crystalline CuIr2Rh at its relaxed geometry (PBE, the Alexandria database).

Calculated values
formation enthalpy at 0 K	43	meV/atom

Cell: 8.9096 2.7279 4.6633 Å, 90.00 100.17 90.00°
Closest atoms and distances in Å follow each position.
Space group C2/m (No. 12)
Inequivalent atoms, fractional coordinates:
Cu (0.0000, 0.0000, 0.0000) x2  6 Ir 2.67-2.70, 4 Rh 2.70, 2 Cu 2.73
Ir (0.2486, 0.0000, 0.7533) x4  3 Cu 2.67-2.70, 6 Ir 2.67-2.73, 3 Rh 2.69-2.71
Rh (0.0000, 0.5000, 0.5000) x2  6 Ir 2.69-2.71, 4 Cu 2.70, 2 Rh 2.73

=====

3.
# CuIrRh2

Crystalline CuIrRh2 at its relaxed geometry (PBE, the Alexandria database).

Calculated values
formation enthalpy at 0 K	21	meV/atom

Cell: 2.7373 2.7373 7.3884 Å, 90.00 90.00 90.00°
Closest atoms and distances in Å follow each position.
Space group P4/mmm (No. 123)
Inequivalent atoms, fractional coordinates:
Cu (0.0000, 0.0000, 0.0000) x1  8 Rh 2.66, 4 Cu 2.74
Ir (0.0000, 0.0000, 0.5000) x1  8 Rh 2.69, 4 Ir 2.74
Rh (0.5000, 0.5000, 0.2470) x2  4 Cu 2.66, 4 Ir 2.69, 4 Rh 2.74

=====

4.
# CuIrRh2

Crystalline CuIrRh2 at its relaxed geometry (PBE, the Alexandria database).

Calculated values
formation enthalpy at 0 K	54	meV/atom

Cell: 3.7991 3.7991 7.6609 Å, 90.00 90.00 90.00°
Closest atoms and distances in Å follow each position.
Space group I-4m2 (No. 119)
Inequivalent atoms, fractional coordinates:
Cu (0.0000, 0.0000, 0.0000) x2  8 Rh 2.69-2.70, 4 Ir 2.70
Ir (0.0000, 0.5000, 0.7500) x2  8 Rh 2.69-2.70, 4 Cu 2.70
Rh (0.0000, 0.0000, 0.5000) x2  4 Cu 2.69, 4 Rh 2.70, 4 Ir 2.70
Rh (0.0000, 0.5000, 0.2500) x2  4 Ir 2.69, 4 Cu 2.70, 4 Rh 2.70

=====

5.
# CuIrRh

Crystalline CuIrRh at its relaxed geometry (PBE, the Alexandria database).

Calculated values
formation enthalpy at 0 K	86	meV/atom

Cell: 2.7283 3.7831 7.9593 Å, 90.00 90.00 90.00°
Closest atoms and distances in Å follow each position.
Space group Imm2 (No. 44)
Inequivalent atoms, fractional coordinates:
Cu (0.0000, 0.0000, 0.0000) x2  5 Rh 2.64-2.69, 5 Ir 2.66-2.68, 2 Cu 2.73
Ir (0.0000, 0.0000, 0.6655) x2  5 Rh 2.66-2.68, 5 Cu 2.66-2.68, 2 Ir 2.73
Rh (0.0000, 0.0000, 0.3317) x2  5 Cu 2.64-2.69, 5 Ir 2.66-2.68, 2 Rh 2.73

=====

6.
# Cu2IrRh

Crystalline Cu2IrRh at its relaxed geometry (PBE, the Alexandria database).

Calculated values
formation enthalpy at 0 K	82	meV/atom

Cell: 8.8037 2.7162 4.5580 Å, 90.00 100.21 90.00°
Closest atoms and distances in Å follow each position.
Space group Cm (No. 8)
Inequivalent atoms, fractional coordinates:
Cu (0.0000, 0.0000, 0.0000) x2  5 Cu 2.54-2.72, 4 Rh 2.65-2.66, 3 Ir 2.72-2.77
Cu (0.2498, 0.0000, 0.7929) x2  5 Cu 2.54-2.72, 4 Ir 2.65-2.66, 3 Rh 2.75
Ir (0.2496, 0.5000, 0.2915) x2  3 Rh 2.57-2.59, 7 Cu 2.65-2.77, 2 Ir 2.72
Rh (0.4964, 0.0000, 0.4982) x2  3 Ir 2.57-2.59, 7 Cu 2.65-2.75, 2 Rh 2.72

=====

7.
# CuIr2Rh

Crystalline CuIr2Rh at its relaxed geometry (PBE, the Alexandria database).

Calculated values
formation enthalpy at 0 K	284	meV/atom

Cell: 5.3104 9.1765 2.6984 Å, 90.00 119.36 90.00°
Closest atoms and distances in Å follow each position.
Space group C2/m (No. 12)
Inequivalent atoms, fractional coordinates:
Cu (0.0000, 0.0000, 0.0000) x2  4 Rh 2.66-2.70, 4 Ir 2.66, 2 Cu 2.70
Ir (0.2500, 0.2500, 0.5000) x4  6 Ir 2.66-2.70, 2 Cu 2.66, 2 Rh 2.66
Rh (0.0000, 0.5000, 0.0000) x2  4 Cu 2.66-2.70, 4 Ir 2.66, 2 Rh 2.70

=====

8.
# CuIr3Rh3

Crystalline CuIr3Rh3 at its relaxed geometry (PBE, the Alexandria database).

Calculated values
formation enthalpy at 0 K	1270	meV/atom

Cell: 8.9584 8.9584 4.6636 Å, 90.00 90.00 120.00°
Closest atoms and distances in Å follow each position.
Space group P6_3/mmc (No. 194)
Inequivalent atoms, fractional coordinates:
Cu (0.3333, 0.6667, 0.2500) x2  3 Ir 2.38
Ir (0.1802, 0.3605, 0.2500) x6  1 Cu 2.38, 4 Rh 2.45-2.51
Rh (0.1324, 0.2648, 0.7500) x6  4 Ir 2.45-2.51

=====

9.
# Cu2IrRh

Crystalline Cu2IrRh at its relaxed geometry (PBE, the Alexandria database).

Calculated values
formation enthalpy at 0 K	104	meV/atom

Cell: 2.6908 2.6908 25.7351 Å, 90.00 90.00 120.00°
Closest atoms and distances in Å follow each position.
Space group R3m (No. 160, hexagonal axes)
Inequivalent atoms, fractional coordinates:
Cu (0.0000, 0.0000, 0.0000) x3  3 Rh 2.64, 3 Ir 2.66, 6 Cu 2.69
Cu (0.0000, 0.0000, 0.1676) x3  3 Rh 2.63, 3 Ir 2.65, 6 Cu 2.69
Ir (0.0000, 0.0000, 0.7506) x3  6 Cu 2.65-2.66, 6 Ir 2.69
Rh (0.0000, 0.0000, 0.5835) x3  6 Cu 2.63-2.64, 6 Rh 2.69

=====

10.
# CuIrRh

Crystalline CuIrRh at its relaxed geometry (PBE, the Alexandria database).

Calculated values
formation enthalpy at 0 K	46	meV/atom

Cell: 2.7051 2.7051 6.5100 Å, 90.00 90.00 120.00°
Closest atoms and distances in Å follow each position.
Space group P3m1 (No. 156)
Inequivalent atoms, fractional coordinates:
Cu (0.0000, 0.0000, 0.0000) x1  3 Rh 2.66, 3 Ir 2.66, 6 Cu 2.71
Ir (0.6667, 0.3333, 0.3311) x1  3 Cu 2.66, 3 Rh 2.70, 6 Ir 2.71
Rh (0.3333, 0.6667, 0.6690) x1  3 Cu 2.66, 3 Ir 2.70, 6 Rh 2.71

=====

11.
# CuIr2Rh

Crystalline CuIr2Rh at its relaxed geometry (PBE, the Alexandria database).

Calculated values
formation enthalpy at 0 K	44	meV/atom

Cell: 2.7394 2.7394 7.4219 Å, 90.00 90.00 90.00°
Closest atoms and distances in Å follow each position.
Space group P4mm (No. 99)
Inequivalent atoms, fractional coordinates:
Cu (0.0000, 0.0000, 0.0000) x1  4 Rh 2.66, 4 Ir 2.67, 4 Cu 2.74
Ir (0.0000, 0.0000, 0.4985) x1  8 Ir 2.69-2.74, 4 Rh 2.71
Ir (0.5000, 0.5000, 0.2474) x1  4 Cu 2.67, 8 Ir 2.69-2.74
Rh (0.5000, 0.5000, 0.7535) x1  4 Cu 2.66, 4 Ir 2.71, 4 Rh 2.74

=====

12.
# CuIr2Rh2

Crystalline CuIr2Rh2 at its relaxed geometry (PBE, the Alexandria database).

Calculated values
formation enthalpy at 0 K	337	meV/atom

Cell: 7.5255 7.5255 2.7297 Å, 90.00 90.00 90.00°
Closest atoms and distances in Å follow each position.
Space group P4/mbm (No. 127)
Inequivalent atoms, fractional coordinates:
Cu (0.0000, 0.0000, 0.0000) x2  2 Cu 2.73, 4 Ir 2.99
Ir (0.1218, 0.3782, 0.0000) x4  6 Rh 2.55-2.66, 3 Ir 2.59-2.73
Rh (0.1761, 0.6761, 0.5000) x4  6 Ir 2.55-2.66, 2 Rh 2.73

=====

13.
# CuIr2Rh

Crystalline CuIr2Rh at its relaxed geometry (PBE, the Alexandria database).

Calculated values
formation enthalpy at 0 K	236	meV/atom

Cell: 2.6962 4.6555 9.1088 Å, 90.00 90.00 90.00°
Closest atoms and distances in Å follow each position.
Space group Cmmm (No. 65)
Inequivalent atoms, fractional coordinates:
Cu (0.0000, 0.0000, 0.0000) x2  4 Ir 2.60, 6 Cu 2.69-2.70
Ir (0.0000, 0.5000, 0.2438) x4  2 Cu 2.60, 6 Ir 2.69-2.70, 2 Rh 2.70
Rh (0.0000, 0.0000, 0.5000) x2  6 Rh 2.69-2.70, 4 Ir 2.70

=====

Record order is preserved below.
Spin magnetization: 0.000 0.000 0.000 0.000 0.000 0.000 0.054 0.000 0.855 0.000 0.000 0.000 0.000 Bohr magnetons per cell
Record order is preserved below.
Density of states at the Fermi level: 1.50 1.02 1.14 1.19 1.31 1.10 1.94 1.66 1.80 0.75 1.01 1.29 1.64 states/eV per atom